VASP calculation (PBE with a Hubbard U) on a relaxed structure of TbV2PO8.

a b c (Å): 4.9477 4.9477 5.9215
angles (deg): 90.00 90.00 120.00
Each line ends with the local moment (μB).
Fractional coordinates of all 12 atoms:
O1 0.1615 0.8385 0.1622  -0.07
O2 0.6770 0.8385 0.1622  -0.07
O3 0.6667 0.3333 0.3916  -0.13
O4 0.3230 0.1615 0.8378  -0.07
O5 0.8385 0.1615 0.8378  -0.07
O6 0.8385 0.6770 0.8378  -0.07
O7 0.3333 0.6667 0.6084  -0.13
O8 0.1615 0.3230 0.1622  -0.07
V1 0.6667 0.3333 0.1045  1.31
V2 0.3333 0.6667 0.8955  1.31
P1 0.0000 0.0000 0.0000  0.01
Tb1 0.0000 0.0000 0.5000  0.00

E_tot   -7.2632 eV/atom